{"formula": "PmGdHoRu", "functional": "GGA-PBE", "state": "optimized geometry", "sg": "F-43m (216)", "final_energy_ev_per_atom": -8.036, "magnetic_moment_mub_per_atom": 1.87, "dos_at_fermi_per_ev_cell": 6.67, "lattice_angstrom": [[0.0000, 3.6789, 3.6789], [3.6789, 0.0000, 3.6789], [3.6789, 3.6789, 0.0000]], "species": ["Pm", "Gd", "Ho", "Ru"], "fractional_positions": [[0.0000, 0.0000, 0.0000], [0.5000, 0.5000, 0.5000], [0.2500, 0.2500, 0.2500], [0.7500, 0.7500, 0.7500]]}

{"formula": "Ho11Al9Pd4", "functional": "GGA-PBE", "state": "optimized geometry", "sg": "Cmmm (65)", "final_energy_ev_per_atom": -4.981, "magnetic_moment_mub_per_atom": 0.00, "dos_at_fermi_per_ev_cell": 14.31, "lattice_angstrom": [[7.0479, -10.6492, 0.0000], [7.0479, 10.6492, 0.0000], [0.0000, 0.0000, 3.5737]], "species": ["Ho", "Ho", "Ho", "Ho", "Ho", "Ho", "Ho", "Ho", "Ho", "Ho", "Ho", "Al", "Al", "Al", "Al", "Al", "Al", "Al", "Al", "Al", "Pd", "Pd", "Pd", "Pd"], "fractional_positions": [[0.0000, 0.0000, 0.0000], [0.0626, 0.4099, 0.0000], [0.1621, 0.8379, 0.0000], [0.3033, 0.3033, 0.0000], [0.3709, 0.6291, 0.0000], [0.4099, 0.0626, 0.0000], [0.5901, 0.9374, 0.0000], [0.6291, 0.3709, 0.0000], [0.6967, 0.6967, 0.0000], [0.8379, 0.1621, 0.0000], [0.9374, 0.5901, 0.0000], [0.0751, 0.2150, 0.5000], [0.1645, 0.6333, 0.5000], [0.2150, 0.0751, 0.5000], [0.3667, 0.8355, 0.5000], [0.5000, 0.5000, 0.5000], [0.6333, 0.1645, 0.5000], [0.7850, 0.9249, 0.5000], [0.8355, 0.3667, 0.5000], [0.9249, 0.7850, 0.5000], [0.2421, 0.4461, 0.5000], [0.4461, 0.2421, 0.5000], [0.5539, 0.7579, 0.5000], [0.7579, 0.5539, 0.5000]]}